Record 1
# NiC (PBE, relaxed)
# **Symmetry**: I-43m, No. 217
data_NiC
_cell_length_a 5.083
_cell_length_b 5.083
_cell_length_c 5.083
_cell_angle_alpha 109.47
_cell_angle_beta 109.47
_cell_angle_gamma 109.47
_space_group_name_H-M_alt 'P 1'
_space_group_IT_number 1
loop_
_space_group_symop_operation_xyz
'x,y,z'
loop_
_atom_site_label
_atom_site_fract_x
_atom_site_fract_y
_atom_site_fract_z
Ni1 0.000 0.000 0.299
Ni2 0.000 0.299 0.000
Ni3 0.299 0.000 0.000
Ni4 0.701 0.701 0.701
C1 0.000 0.000 0.652
C2 0.000 0.652 0.000
C3 0.348 0.348 0.348
C4 0.652 0.000 0.000

=====

Record 2
# SmMgAu2 (PBE, relaxed)
# **Symmetry**: P4/mmm, No. 123
data_SmMgAu2
_cell_length_a 3.499
_cell_length_b 3.499
_cell_length_c 7.030
_cell_angle_alpha 90.00
_cell_angle_beta 90.00
_cell_angle_gamma 90.00
_space_group_name_H-M_alt 'P 1'
_space_group_IT_number 1
loop_
_space_group_symop_operation_xyz
'x,y,z'
loop_
_atom_site_label
_atom_site_fract_x
_atom_site_fract_y
_atom_site_fract_z
Sm1 0.000 0.000 0.000
Mg1 0.000 0.000 0.500
Au1 0.500 0.500 0.276
Au2 0.500 0.500 0.724

=====

Formation enthalpy at 0 K / meV per atom: 990, -692